SCAN Zr2AlAg, single point on PBEsol structure; energy of formation from the pure elements = -259 meV/atom; symmetry = No. 25; calculated volume = 18.95 Å³ per atom; crystal system = orthorhombic
1.0
3.0126 0.0000 0.0000
0.0000 4.9134 0.0000
0.0000 0.0000 5.1200
Ag Zr Al
1 2 1
direct
0.5000 0.0000 0.5484 Ag
0.0000 0.0000 0.0724 Zr
0.0000 0.5000 0.6905 Zr
0.5000 0.5000 0.1887 Al